[1]
# LaTbMgBi

A relaxed LaTbMgBi crystal (PBE-GGA, Alexandria via LeMat-Bulk).

Values from the calculation:
Calculated volume = 120.2 Å³/cell
Calculated density = 7.3 Mg/m³
Raw total energy = -16.50 eV/f.u.

Cell lengths 5.540, 5.540, 5.540 Å; angles 60.00, 60.00, 60.00 degrees
Element x y z (fractional)
La  0.000  0.000  0.000
Tb  0.500  0.500  0.500
Mg  0.250  0.250  0.250
Bi  0.750  0.750  0.750


[2]
# LaMgTlBi

A relaxed LaMgTlBi crystal (PBE-GGA, Alexandria via LeMat-Bulk).

Values from the calculation:
Calculated volume = 117.3 Å³/cell
Calculated density = 8.2 Mg/m³
Raw total energy = -14.12 eV/f.u.

Cell lengths 5.495, 5.495, 5.495 Å; angles 60.00, 60.00, 60.00 degrees
Element x y z (fractional)
La  0.000  0.000  0.000
Mg  0.500  0.500  0.500
Tl  0.750  0.750  0.750
Bi  0.250  0.250  0.250


[3]
# LaYMgBi

A relaxed LaYMgBi crystal (PBE-GGA, Alexandria via LeMat-Bulk).

Values from the calculation:
Calculated volume = 120.0 Å³/cell
Calculated density = 6.4 Mg/m³
Raw total energy = -18.37 eV/f.u.

Cell lengths 5.536, 5.536, 5.536 Å; angles 60.00, 60.00, 60.00 degrees
Element x y z (fractional)
La  0.000  0.000  0.000
Y  0.500  0.500  0.500
Mg  0.250  0.250  0.250
Bi  0.750  0.750  0.750


[4]
# LaMgZrBi2

A relaxed LaMgZrBi2 crystal (PBE-GGA, Alexandria via LeMat-Bulk).

Values from the calculation:
Calculated volume = 165.5 Å³/cell
Calculated density = 6.7 Mg/m³
Raw total energy = -19.69 eV/f.u.

Cell lengths 5.415, 5.415, 5.643 Å; angles 90.00, 90.00, 90.00 degrees
Element x y z (fractional)
La  0.000  0.000  0.000
Mg  0.000  0.000  0.500
Zr  0.500  0.500  0.000
Bi  0.000  0.500  0.500
Bi  0.500  0.000  0.500